Computed, not measured: SrHgPb3 after structural relaxation at the GGA-PBE level of DFT.

Its space group is Pc, No. 7.

Cell lengths 7.075, 7.022, 6.823 Å; angles 89.99, 90.02, 89.99 degrees
Fractional coordinates of all 10 atoms:
Sr (0.471, 0.425, 0.701)
Sr (0.971, 0.928, 0.201)
Pb (0.470, 0.919, 0.951)
Pb (0.970, 0.434, 0.451)
Pb (0.335, 0.286, 0.200)
Pb (0.469, 0.919, 0.451)
Pb (0.835, 0.066, 0.700)
Pb (0.969, 0.434, 0.951)
Hg (0.633, 0.584, 0.201)
Hg (0.133, 0.769, 0.701)

Computed, not measured: SrHg12Pb6 after structural relaxation at the GGA-PBE level of DFT.

Its space group is R-3m, No. 166.

Cell lengths 8.750, 8.750, 8.750 Å; angles 105.77, 105.77, 105.77 degrees
Fractional coordinates of all 19 atoms:
Pb (0.724, 0.311, 0.311)
Pb (0.311, 0.724, 0.311)
Pb (0.689, 0.689, 0.276)
Pb (0.311, 0.311, 0.724)
Pb (0.689, 0.276, 0.689)
Pb (0.276, 0.689, 0.689)
Hg (0.105, 0.500, 0.895)
Hg (0.895, 0.105, 0.500)
Hg (0.105, 0.895, 0.500)
Hg (0.895, 0.500, 0.105)
Hg (0.878, 0.649, 0.649)
Hg (0.500, 0.895, 0.105)
Hg (0.351, 0.122, 0.351)
Hg (0.351, 0.351, 0.122)
Hg (0.649, 0.649, 0.878)
Hg (0.500, 0.105, 0.895)
Hg (0.122, 0.351, 0.351)
Hg (0.649, 0.878, 0.649)
Sr (0.000, 0.000, 0.000)

Computed, not measured: Sr2HgPb after structural relaxation at the GGA-PBE level of DFT.

Its space group is Imm2, No. 44.

Cell lengths 7.016, 7.016, 7.016 Å; angles 145.98, 134.18, 58.28 degrees
Fractional coordinates of all 4 atoms:
Hg (0.490, 0.490, 0.000)
Pb (0.287, 0.787, 0.500)
Sr (0.003, 0.003, 0.000)
Sr (0.720, 0.220, 0.500)

Computed, not measured: SrHgPb4 after structural relaxation at the GGA-PBE level of DFT.

Its space group is F-43m, No. 216.

Cell lengths 6.564, 6.564, 6.564 Å; angles 60.00, 60.00, 60.00 degrees
Fractional coordinates of all 6 atoms:
Pb (0.376, 0.376, 0.376)
Pb (0.873, 0.376, 0.376)
Pb (0.376, 0.873, 0.376)
Pb (0.376, 0.376, 0.873)
Hg (0.000, 0.000, 0.000)
Sr (0.750, 0.750, 0.750)

Computed, not measured: SrHg2Pb after structural relaxation at the GGA-PBE level of DFT.

Its space group is R3m, No. 160.

Cell lengths 4.274, 4.274, 8.741 Å; angles 75.85, 75.85, 60.00 degrees
Fractional coordinates of all 4 atoms:
Sr (0.667, 0.667, 0.999)
Pb (0.499, 0.499, 0.502)
Hg (0.246, 0.246, 0.262)
Hg (0.087, 0.087, 0.738)

Computed, not measured: SrHg2Pb after structural relaxation at the GGA-PBE level of DFT.

Its space group is Pmmm, No. 47.

Cell lengths 5.256, 3.567, 6.456 Å; angles 90.04, 90.00, 90.00 degrees
Fractional coordinates of all 4 atoms:
Hg (0.000, 0.251, 0.985)
Hg (0.000, 0.249, 0.515)
Pb (0.500, 0.250, 0.250)
Sr (0.500, 0.750, 0.750)

Computed, not measured: Sr2Hg8Pb after structural relaxation at the GGA-PBE level of DFT.

Its space group is C2/m, No. 12.

Cell lengths 5.512, 6.858, 9.504 Å; angles 112.03, 107.93, 87.17 degrees
Fractional coordinates of all 11 atoms:
Sr (0.316, 0.316, 0.633)
Sr (0.684, 0.684, 0.367)
Hg (0.097, 0.911, 0.263)
Hg (0.166, 0.352, 0.263)
Hg (0.834, 0.648, 0.737)
Hg (0.301, 0.801, 0.601)
Hg (0.248, 0.586, 0.000)
Hg (0.752, 0.414, 0.000)
Hg (0.903, 0.089, 0.737)
Hg (0.699, 0.199, 0.399)
Pb (0.500, 0.000, 0.000)

Computed, not measured: SrHg9Pb2 after structural relaxation at the GGA-PBE level of DFT.

Its space group is P-1, No. 2.

Cell lengths 8.175, 11.455, 19.305 Å; angles 25.63, 25.83, 31.93 degrees
Fractional coordinates of all 12 atoms:
Hg (0.038, 0.012, 0.318)
Hg (0.962, 0.988, 0.682)
Hg (0.728, 0.742, 0.093)
Hg (0.783, 0.715, 0.752)
Hg (0.500, 0.500, 0.500)
Hg (0.272, 0.258, 0.907)
Hg (0.521, 0.466, 0.183)
Hg (0.217, 0.285, 0.248)
Hg (0.479, 0.534, 0.817)
Pb (0.767, 0.773, 0.395)
Pb (0.233, 0.227, 0.605)
Sr (0.000, 0.000, 0.000)

Energy for every record listed, in sequence, given in eV per atom: -2.84 -1.46 -2.28 -2.96 -1.74 -1.80 -1.13 -1.11.